The following is a DFT calculation (PBE) of a relaxed AlVCr2C crystal.

The space group is P4/mmm (No. 123) and the conventional cell measures 3.861, 3.861 and 3.980 Å, with angles of 90.00, 90.00 and 90.00 degrees. The inequivalent atoms are Al at (0.000, 0.000, 0.000), V at (0.500, 0.500, 0.000), Cr at (0.000, 0.500, 0.500) and C at (0.500, 0.500, 0.500).

The value obtained for the density of states at the Fermi level is 1.1654 states/eV per atom. For the total energy, the calculation gives -8.390 eV/atom. The calculated volume is 59.3 Å³ per cell.

The following is a DFT calculation (PBE) of a relaxed NaPdI crystal.

The space group is Pnma (No. 62) and the conventional cell measures 9.640, 4.624 and 7.791 Å, with angles of 90.00, 90.00 and 90.00 degrees. The inequivalent atoms are Na at (0.071, 0.250, 0.199), Pd at (0.212, 0.750, 0.971) and I at (0.184, 0.250, 0.794).

The value obtained for the density of states at the Fermi level is 0.0063 states/eV per atom. As for the energy above the most stable polymorph in this dataset: 97 meV per atom. For the total energy, the calculation gives -3.120 eV/atom. The calculated volume is 347.3 Å³ per cell.

The following is a DFT calculation (PBE) of a relaxed FeCu2Tc crystal.

The space group is P4mm (No. 99) and the conventional cell measures 2.958, 2.958 and 5.756 Å, with angles of 90.00, 90.00 and 90.00 degrees. The inequivalent atoms are Fe at (0.000, 0.000, 0.000), Cu at (0.000, 0.000, 0.520), Cu at (0.500, 0.500, 0.748) and Tc at (0.500, 0.500, 0.235).

The value obtained for the density of states at the Fermi level is 0.9001 states/eV per atom. As for the energy above the most stable polymorph in this dataset: 53 meV per atom. For the total energy, the calculation gives -6.552 eV/atom. The calculated volume is 50.3 Å³ per cell.

The following is a DFT calculation (PBE) of a relaxed RbNaSr2P crystal.

The space group is P4/mmm (No. 123) and the conventional cell measures 5.952, 5.952 and 6.818 Å, with angles of 90.00, 90.00 and 90.00 degrees. The inequivalent atoms are Rb at (0.000, 0.000, 0.000), Na at (0.500, 0.500, 0.000), Sr at (0.000, 0.500, 0.500) and P at (0.000, 0.000, 0.500).

The value obtained for the density of states at the Fermi level is 0.4555 states/eV per atom. As for the energy above the most stable polymorph in this dataset: 0 meV per atom. For the total energy, the calculation gives -2.566 eV/atom. The calculated volume is 241.5 Å³ per cell.

Number 2 is which compound?
NaPdI